No. 1
Entry from Alexandria via LeMat-Bulk: a geometry-optimized MgTi2Ga3 structure (PBE-GGA).

a b c (Å): 5.4565 5.2623 7.6605
angles (deg): 99.83 110.86 90.00
Fractional positions:
Ga  0.6035  0.2500  0.0000
Ga  0.2998  0.0587  0.3436
Ga  0.3965  0.7500  0.0000
Ga  0.7002  0.9413  0.6564
Ga  0.9561  0.4413  0.6564
Ga  0.0439  0.5587  0.3436
Ti  0.2079  0.9232  0.6614
Ti  0.5465  0.5768  0.3386
Ti  0.7921  0.0768  0.3386
Ti  0.4535  0.4232  0.6614
Mg  0.1155  0.2500  0.0000
Mg  0.8845  0.7500  0.0000

Calculated values
- Electronic total energy: -4.6883 eV/atom
- Density: 5.4 g/cm3

---

No. 2
Entry from Alexandria via LeMat-Bulk: a geometry-optimized Li6PmSn6 structure (PBE-GGA).

a b c (Å): 5.7999 7.4561 7.4561
angles (deg): 78.71 67.11 67.11
Fractional positions:
Li  0.0000  0.0000  0.5000
Li  0.5000  0.2494  0.7506
Li  0.5000  0.5000  0.0000
Li  0.5000  0.0000  0.5000
Li  0.0000  0.5000  0.0000
Li  0.5000  0.7506  0.2494
Sn  0.3339  0.1661  0.1661
Sn  0.6661  0.8339  0.8339
Sn  0.0000  0.3472  0.6528
Sn  0.0000  0.6528  0.3472
Sn  0.3358  0.6642  0.6642
Sn  0.6642  0.3358  0.3358
Pm  0.0000  0.0000  0.0000

Calculated values
- Electronic total energy: -3.4848 eV/atom
- Distance to the lowest polymorph of the same formula: 0.0000 eV per atom
- Density: 5.5 g/cm3

---

No. 3
Entry from Alexandria via LeMat-Bulk: a geometry-optimized TiH3Ir structure (PBE-GGA).

a b c (Å): 3.4391 3.4391 3.4391
angles (deg): 90.00 90.00 90.00
Each line ends with the local moment (μB).
Fractional positions:
Ti  0.0000  0.0000  0.0000  0.03
H  0.0000  0.5000  0.0000  0.00
H  0.0000  0.0000  0.5000  0.00
H  0.5000  0.0000  0.0000  0.00
Ir  0.5000  0.5000  0.5000  0.65

Calculated values
- Electronic total energy: -5.0277 eV/atom
- Density: 9.9 g/cm3

---

No. 4
Entry from Alexandria via LeMat-Bulk: a geometry-optimized NpCdRh2 structure (PBE-GGA).

a b c (Å): 3.3704 3.3704 6.4687
angles (deg): 90.00 90.00 90.00
Each line ends with the local moment (μB).
Fractional positions:
Cd  0.5000  0.5000  0.5000  0.01
Np  0.5000  0.5000  0.0000  3.32
Rh  0.0000  0.0000  0.2434  -0.22
Rh  0.0000  0.0000  0.7566  -0.22

Calculated values
- Electronic total energy: -7.3759 eV/atom
- Density: 12.5 g/cm3

---

No. 5
Entry from Alexandria via LeMat-Bulk: a geometry-optimized Sr2NdGaCu2O7 structure (PBE-GGA).

a b c (Å): 12.3035 12.3035 12.3035
angles (deg): 154.34 153.74 37.04
Fractional positions:
Nd  0.5000  0.4976  0.9976
Nd  0.0000  0.9976  0.9976
O  0.6292  0.1459  0.4197
O  0.1819  0.1790  0.4959
O  0.3708  0.7905  0.5167
O  0.8708  0.6328  0.0036
O  0.3174  0.3142  0.5009
O  0.2262  0.6459  0.5167
O  0.1831  0.6790  0.9970
O  0.3132  0.8142  0.9968
O  0.6868  0.6835  0.5009
O  0.1292  0.1328  0.7619
O  0.8169  0.8140  0.4959
O  0.8181  0.3140  0.9970
O  0.6826  0.1835  0.9968
O  0.7738  0.2905  0.4197
Cu  0.5766  0.0725  0.4986
Cu  0.0740  0.5725  0.4960
Cu  0.4234  0.9220  0.4960
Cu  0.9260  0.4220  0.4986
Ga  0.1799  0.7842  0.4642
Ga  0.8201  0.2842  0.6043
Sr  0.1724  0.1543  0.0211
Sr  0.8276  0.8487  0.9819
Sr  0.6332  0.6543  0.9819
Sr  0.3668  0.3487  0.0211

Calculated values
- Electronic total energy: -6.2469 eV/atom
- Uncorrected formation energy: -2620 kJ/mol of formula units
- Density: 5.9 g/cm3

---

No. 6
Entry from Alexandria via LeMat-Bulk: a geometry-optimized YTm7In2 structure (PBE-GGA).

a b c (Å): 5.3732 8.8547 8.8547
angles (deg): 118.76 90.00 90.00
Fractional positions:
Y  0.0000  0.0000  0.0000
Tm  0.0000  0.7712  0.2288
Tm  0.5000  0.6976  0.9412
Tm  0.5000  0.9412  0.6976
Tm  0.0000  0.2288  0.7712
Tm  0.5000  0.0588  0.3024
Tm  0.5000  0.5000  0.5000
Tm  0.5000  0.3024  0.0588
In  0.5000  0.3040  0.6960
In  0.5000  0.6960  0.3040

Calculated values
- Electronic total energy: -3.9685 eV/atom
- Density: 6.7 g/cm3

---

No. 7
Entry from Alexandria via LeMat-Bulk: a geometry-optimized Y7Cd2Co2 structure (PBE-GGA).

a b c (Å): 3.6125 9.7913 9.7912
angles (deg): 59.29 79.37 79.37
Fractional positions:
Co  0.7411  0.8654  0.6524
Co  0.2589  0.3476  0.1346
Y  0.3619  0.7312  0.5451
Y  0.5000  0.0258  0.9742
Y  0.6381  0.4549  0.2688
Y  0.8157  0.0879  0.2807
Y  0.1843  0.7193  0.9121
Y  0.8497  0.4037  0.8969
Y  0.1503  0.1031  0.5963
Cd  0.0000  0.7529  0.2471
Cd  0.5000  0.3621  0.6379

Calculated values
- Electronic total energy: -5.7546 eV/atom
- Distance to the lowest polymorph of the same formula: 0.0000 eV per atom
- Density: 5.5 g/cm3

---

No. 8
Entry from Alexandria via LeMat-Bulk: a geometry-optimized Tb2EuGd structure (PBE-GGA).

a b c (Å): 5.7588 5.7588 5.7588
angles (deg): 60.00 60.00 60.00
Each line ends with the local moment (μB).
Fractional positions:
Tb  0.2500  0.2500  0.2500  0.19
Tb  0.7500  0.7500  0.7500  0.19
Eu  0.0000  0.0000  0.0000  6.86
Gd  0.5000  0.5000  0.5000  7.27

Calculated values
- Electronic total energy: -8.2595 eV/atom
- Distance to the lowest polymorph of the same formula: 0.0894 eV per atom
- Density: 7.7 g/cm3

---

No. 9
Entry from Alexandria via LeMat-Bulk: a geometry-optimized Zn16Cu6Ni7 structure (PBE-GGA).

a b c (Å): 8.2066 8.2066 8.2066
angles (deg): 60.00 60.00 60.00
Fractional positions:
Zn  0.8693  0.8693  0.8693
Zn  0.6078  0.1307  0.1307
Zn  0.8792  0.3736  0.3736
Zn  0.1208  0.6264  0.6264
Zn  0.8693  0.8693  0.3922
Zn  0.3736  0.8792  0.3736
Zn  0.3736  0.3736  0.3736
Zn  0.1307  0.6078  0.1307
Zn  0.1307  0.1307  0.6078
Zn  0.3736  0.3736  0.8792
Zn  0.6264  0.6264  0.6264
Zn  0.6264  0.1208  0.6264
Zn  0.6264  0.6264  0.1208
Zn  0.3922  0.8693  0.8693
Zn  0.8693  0.3922  0.8693
Zn  0.1307  0.1307  0.1307
Ni  0.5000  0.0000  0.5000
Ni  0.0000  0.0000  0.5000
Ni  0.5000  0.5000  0.0000
Ni  0.0000  0.5000  0.5000
Ni  0.5000  0.0000  0.0000
Ni  0.0000  0.5000  0.0000
Ni  0.0000  0.0000  0.0000
Cu  0.2444  0.7556  0.2444
Cu  0.7556  0.2444  0.2444
Cu  0.7556  0.7556  0.2444
Cu  0.2444  0.2444  0.7556
Cu  0.7556  0.2444  0.7556
Cu  0.2444  0.7556  0.7556

Calculated values
- Electronic total energy: -3.0641 eV/atom
- Density: 7.8 g/cm3

---

No. 10
Entry from Alexandria via LeMat-Bulk: a geometry-optimized CdHgTe structure (PBE-GGA).

a b c (Å): 7.1904 6.8639 3.7000
angles (deg): 79.68 69.91 30.41
Fractional positions:
Cd  0.0011  0.0011  0.9989
Te  0.6584  0.6584  0.3416
Hg  0.3405  0.3405  0.6595

Calculated values
- Electronic total energy: -1.3994 eV/atom
- Distance to the lowest polymorph of the same formula: 0.1887 eV per atom
- Uncorrected formation energy: 15 kJ/mol of formula units
- Density: 8.7 g/cm3

---

No. 11
Entry from Alexandria via LeMat-Bulk: a geometry-optimized ZnFePt4 structure (PBE-GGA).

a b c (Å): 5.2342 5.2342 5.2342
angles (deg): 60.00 60.00 60.00
Each line ends with the local moment (μB).
Fractional positions:
Pt  0.3750  0.3750  0.3750  0.06
Pt  0.3750  0.3750  0.8750  0.06
Pt  0.3750  0.8750  0.3750  0.06
Pt  0.8750  0.3750  0.3750  0.06
Fe  0.0000  0.0000  0.0000  3.31
Zn  0.7500  0.7500  0.7500  -0.03

Calculated values
- Electronic total energy: -5.5320 eV/atom
- Distance to the lowest polymorph of the same formula: 0.4420 eV per atom
- Density: 14.8 g/cm3

---

No. 12
Entry from Alexandria via LeMat-Bulk: a geometry-optimized AcTlRh2 structure (PBE-GGA).

a b c (Å): 7.9140 6.6715 8.3086
angles (deg): 90.00 90.00 90.00
Fractional positions:
Tl  0.0000  0.7500  0.7250
Tl  0.0000  0.2500  0.2750
Tl  0.5000  0.7500  0.7490
Tl  0.5000  0.2500  0.2510
Rh  0.2618  0.7500  0.9828
Rh  0.0000  0.0000  0.0000
Rh  0.7382  0.2500  0.0172
Rh  0.5000  0.5000  0.5000
Rh  0.5000  0.0000  0.5000
Rh  0.0000  0.5000  0.0000
Rh  0.2618  0.2500  0.0172
Rh  0.7382  0.7500  0.9828
Ac  0.0000  0.7500  0.2885
Ac  0.0000  0.2500  0.7115
Ac  0.5000  0.7500  0.2181
Ac  0.5000  0.2500  0.7819

Calculated values
- Electronic total energy: -5.2421 eV/atom
- Density: 9.6 g/cm3

---

No. 13
Entry from Alexandria via LeMat-Bulk: a geometry-optimized Na2CrP2S6 structure (PBE-GGA).

a b c (Å): 6.3213 6.3213 6.5153
angles (deg): 90.00 90.00 120.00
Each line ends with the local moment (μB).
Fractional positions:
S  0.2541  0.9196  0.7777  -0.08
S  0.9196  0.6655  0.2223  -0.08
S  0.7459  0.0804  0.2223  -0.08
S  0.3345  0.2541  0.2223  -0.08
S  0.0804  0.3345  0.7777  -0.08
S  0.6655  0.7459  0.7777  -0.08
Cr  0.0000  0.0000  0.0000  2.55
P  0.6667  0.3333  0.0742  -0.04
P  0.3333  0.6667  0.9258  -0.04
Na  0.6667  0.3333  0.5984  0.00
Na  0.3333  0.6667  0.4016  0.00

Calculated values
- Electronic total energy: -4.9348 eV/atom
- Uncorrected formation energy: -621 kJ/mol of formula units
- Density: 2.6 g/cm3

---

No. 14
Entry from Alexandria via LeMat-Bulk: a geometry-optimized Tb2HoS4 structure (PBE-GGA).

a b c (Å): 7.8534 7.7996 7.7996
angles (deg): 60.68 59.77 59.77
Fractional positions:
Tb  0.0000  0.0000  0.5000
Tb  0.5000  0.0000  0.5000
Tb  0.0000  0.5000  0.5000
Tb  0.0000  0.0000  0.0000
S  0.2441  0.7489  0.2489
S  0.2528  0.2495  0.2449
S  0.2528  0.7449  0.7495
S  0.7582  0.7489  0.2489
S  0.2418  0.2511  0.7511
S  0.7472  0.7505  0.7551
S  0.7472  0.2551  0.2505
S  0.7559  0.2511  0.7511
Ho  0.0000  0.5000  0.0000
Ho  0.5000  0.5000  0.0000

Calculated values
- Electronic total energy: -6.4024 eV/atom
- Distance to the lowest polymorph of the same formula: 0.0000 eV per atom
- Uncorrected formation energy: -1396 kJ/mol of formula units
- Density: 6.0 g/cm3

---

No. 15
Entry from Alexandria via LeMat-Bulk: a geometry-optimized Mg6Tl8Pb structure (PBE-GGA).

a b c (Å): 8.1783 8.1783 8.1783
angles (deg): 64.13 64.13 64.13
Fractional positions:
Tl  0.5484  0.8778  0.2092
Tl  0.3386  0.3386  0.3386
Tl  0.2092  0.5484  0.8778
Tl  0.6614  0.6614  0.6614
Tl  0.7908  0.4516  0.1222
Tl  0.1222  0.7908  0.4516
Tl  0.4516  0.1222  0.7908
Tl  0.8778  0.2092  0.5484
Mg  0.0446  0.3879  0.7138
Mg  0.9554  0.6121  0.2862
Mg  0.2862  0.9554  0.6121
Mg  0.3879  0.7138  0.0446
Mg  0.6121  0.2862  0.9554
Mg  0.7138  0.0446  0.3879
Pb  0.0000  0.0000  0.0000

Calculated values
- Electronic total energy: -2.1268 eV/atom
- Distance to the lowest polymorph of the same formula: 0.0000 eV per atom
- Density: 7.8 g/cm3

---

No. 16
Entry from Alexandria via LeMat-Bulk: a geometry-optimized TiSi2Rh2 structure (PBE-GGA).

a b c (Å): 7.1152 7.1152 2.7519
angles (deg): 90.00 90.00 90.00
Fractional positions:
Ti  0.0000  0.0000  0.0000
Ti  0.5000  0.5000  0.0000
Rh  0.3522  0.1478  0.5000
Rh  0.8522  0.3522  0.5000
Rh  0.1478  0.6478  0.5000
Rh  0.6478  0.8522  0.5000
Si  0.1492  0.3508  0.0000
Si  0.8508  0.6492  0.0000
Si  0.6492  0.1492  0.0000
Si  0.3508  0.8508  0.0000

Calculated values
- Electronic total energy: -7.4098 eV/atom
- Uncorrected formation energy: -348 kJ/mol of formula units
- Density: 7.4 g/cm3

---

No. 17
Entry from Alexandria via LeMat-Bulk: a geometry-optimized NpTa2V structure (PBE-GGA).

a b c (Å): 2.8522 2.8522 10.4921
angles (deg): 82.19 82.19 60.00
Each line ends with the local moment (μB).
Fractional positions:
Ta  0.2431  0.2431  0.2708  -0.04
Ta  0.7569  0.7569  0.7292  -0.04
Np  0.0000  0.0000  0.0000  2.59
V  0.5000  0.5000  0.5000  -0.04

Calculated values
- Electronic total energy: -11.0345 eV/atom
- Distance to the lowest polymorph of the same formula: 0.0944 eV per atom
- Density: 14.8 g/cm3

---

No. 18
Entry from Alexandria via LeMat-Bulk: a geometry-optimized LiDyPbSe3 structure (PBE-GGA).

a b c (Å): 4.1427 8.6151 8.9951
angles (deg): 102.78 90.00 90.00
Fractional positions:
Li  0.7500  0.9163  0.4148
Li  0.2500  0.0837  0.5852
Se  0.2500  0.1106  0.8711
Se  0.7500  0.2186  0.5115
Se  0.7500  0.8894  0.1289
Se  0.7500  0.4352  0.1649
Se  0.2500  0.7814  0.4885
Se  0.2500  0.5648  0.8351
Pb  0.7500  0.8137  0.7644
Pb  0.2500  0.1863  0.2356
Dy  0.2500  0.6690  0.1660
Dy  0.7500  0.3310  0.8340

Calculated values
- Electronic total energy: -4.6932 eV/atom
- Uncorrected formation energy: -722 kJ/mol of formula units
- Density: 6.5 g/cm3

---

No. 19
Entry from Alexandria via LeMat-Bulk: a geometry-optimized CuBiSb2 structure (PBE-GGA).

a b c (Å): 5.2395 5.2395 5.2395
angles (deg): 60.00 60.00 60.00
Fractional positions:
Sb  0.7500  0.7500  0.7500
Sb  0.2500  0.2500  0.2500
Cu  0.0000  0.0000  0.0000
Bi  0.5000  0.5000  0.5000

Calculated values
- Electronic total energy: -3.6679 eV/atom
- Distance to the lowest polymorph of the same formula: 0.2752 eV per atom
- Uncorrected formation energy: 150 kJ/mol of formula units
- Density: 8.4 g/cm3

---

No. 20
Entry from Alexandria via LeMat-Bulk: a geometry-optimized CaTlBiPtN structure (PBE-GGA).

a b c (Å): 4.2179 5.7939 6.1395
angles (deg): 97.33 110.84 111.18
Fractional positions:
Ca  0.7338  0.5008  0.1452
Pt  0.5796  0.9862  0.3442
Bi  0.3360  0.3198  0.5198
N  0.3581  0.6001  0.2892
Tl  0.8237  0.9592  0.8661

Calculated values
- Electronic total energy: -4.6661 eV/atom
- Distance to the lowest polymorph of the same formula: 0.1111 eV per atom
- Uncorrected formation energy: -69 kJ/mol of formula units
- Density: 8.8 g/cm3

---

No. 21
Entry from Alexandria via LeMat-Bulk: a geometry-optimized RbZn2Pb structure (PBE-GGA).

a b c (Å): 5.5946 5.5946 10.3759
angles (deg): 74.36 74.36 90.00
Fractional positions:
Zn  0.8744  0.1250  0.2500
Zn  0.8750  0.1244  0.7500
Zn  0.3750  0.1256  0.7500
Zn  0.8756  0.6250  0.2500
Rb  0.5000  0.5000  0.0000
Rb  0.2500  0.7500  0.5000
Pb  0.7500  0.2500  0.5000
Pb  0.0000  0.0000  0.0000

Calculated values
- Electronic total energy: -1.6671 eV/atom
- Density: 4.7 g/cm3